Density functional theory data (PBE) for a relaxed structure of CaSc2ZnAu4.

a = 4.7575 Å, b = 4.7575 Å, c = 24.4614 Å
α = 90.00°, β = 90.00°, γ = 120.00°
Closest atoms and distances in Å follow each position.
Space group R-3m (No. 166, hexagonal axes)
Asymmetric unit:
Ca (0.0000, 0.0000, 0.0000) (multiplicity 3)  8 Au 3.06
Sc (0.0000, 0.0000, 0.2414) (multiplicity 6)  7 Au 2.84-2.89
Zn (0.0000, 0.0000, 0.5000) (multiplicity 3)  8 Au 2.72-2.93
Au (0.0000, 0.0000, 0.1251) (multiplicity 6)  4 Sc 2.84-2.86, 3 Zn 2.93, 1 Ca 3.06
Au (0.0000, 0.0000, 0.3887) (multiplicity 6)  1 Zn 2.72, 3 Sc 2.89

Results
formation enthalpy at 0 K: -0.657 eV per atom



Density functional theory data (PBE) for a relaxed structure of PuNiPN.

a = 3.6898 Å, b = 3.6898 Å, c = 7.9334 Å
α = 90.00°, β = 90.00°, γ = 90.00°
Closest atoms and distances in Å follow each position.
Space group P4/nmm (No. 129, origin choice 2)
Asymmetric unit:
Pu (0.2500, 0.2500, 0.1623) (multiplicity 2)  1 N 2.30
Ni (0.2500, 0.7500, 0.5000) (multiplicity 2)  4 P 2.22
P (0.2500, 0.2500, 0.6548) (multiplicity 2)  1 N 1.73
N (0.2500, 0.2500, 0.8723) (multiplicity 2)  1 P 1.73

Results
formation energy (no corrections): -0.979 eV/atom



Density functional theory data (PBE) for a relaxed structure of OsRuCO2.

a = 3.5110 Å, b = 3.5110 Å, c = 5.6301 Å
α = 90.00°, β = 90.00°, γ = 90.00°
Closest atoms and distances in Å follow each position.
Space group P4/mmm (No. 123)
Asymmetric unit:
Os (0.0000, 0.0000, 0.0000) (multiplicity 1)  4 C 2.48
Ru (0.0000, 0.0000, 0.5000) (multiplicity 1)  4 O 1.76
C (0.5000, 0.5000, 0.0000) (multiplicity 1)  4 Os 2.48
O (0.0000, 0.5000, 0.5000) (multiplicity 2)  2 Ru 1.76

Results
formation energy (no corrections): 1.032 eV/atom



Density functional theory data (PBE) for a relaxed structure of RuBr2O.

a = 6.2600 Å, b = 6.2600 Å, c = 8.1741 Å
α = 90.00°, β = 90.00°, γ = 90.00°
Closest atoms and distances in Å follow each position.
Space group I-42d (No. 122)
Asymmetric unit:
Ru (0.0000, 0.0000, 0.0000) (multiplicity 4)  4 Br 2.40
Br (0.2407, 0.2500, 0.1250) (multiplicity 8)  2 Ru 2.40, 2 O 2.48
O (0.0000, 0.0000, 0.5000) (multiplicity 4)  4 Br 2.48

Results
formation energy (no corrections): 0.721 eV/atom



Density functional theory data (PBE) for a relaxed structure of Pr4TeRhI2.

a = 8.0752 Å, b = 4.2657 Å, c = 8.2395 Å
α = 90.00°, β = 106.51°, γ = 90.00°
Closest atoms and distances in Å follow each position.
Space group P2/m (No. 10)
Asymmetric unit:
Pr (0.1974, 0.0000, 0.1901) (multiplicity 2)  2 Rh 2.85
Pr (0.2346, 0.5000, 0.7954) (multiplicity 2)  1 Rh 2.87, 2 Te 3.15
Te (0.5000, 0.0000, 0.0000) (multiplicity 1)  6 Pr 3.15-3.26
Rh (0.0000, 0.5000, 0.0000) (multiplicity 1)  6 Pr 2.85-2.87
I (0.0000, 0.0000, 0.5000) (multiplicity 1)  6 Pr 3.37-3.38
I (0.5000, 0.5000, 0.5000) (multiplicity 1)  6 Pr 3.67

Results
formation energy (no corrections): -1.017 eV/atom



Density functional theory data (PBE) for a relaxed structure of Li2AsRu.

a = 2.6470 Å, b = 2.6470 Å, c = 8.3399 Å
α = 90.00°, β = 90.00°, γ = 90.00°
Closest atoms and distances in Å follow each position.
Space group P4/mmm (No. 123)
Asymmetric unit:
Li (0.0000, 0.0000, 0.2437) (multiplicity 2)  4 Li 2.65, 4 As 2.76, 4 Ru 2.84
As (0.5000, 0.5000, 0.0000) (multiplicity 1)  4 As 2.65, 8 Li 2.76
Ru (0.5000, 0.5000, 0.5000) (multiplicity 1)  4 Ru 2.65, 8 Li 2.84

Results
formation enthalpy at 0 K: -0.018 eV per atom



Density functional theory data (PBE) for a relaxed structure of BaCr2Pb.

a = 4.7206 Å, b = 4.7206 Å, c = 18.2307 Å
α = 90.00°, β = 90.00°, γ = 120.00°
Closest atoms and distances in Å follow each position.
Space group R3m (No. 160, hexagonal axes)
Asymmetric unit:
Ba (0.0000, 0.0000, 0.0000) (multiplicity 3)  4 Pb 3.52-3.74, 7 Cr 3.52-3.83
Cr (0.0000, 0.0000, 0.1929) (multiplicity 3)  3 Cr 2.73, 3 Pb 2.89
Cr (0.0000, 0.0000, 0.5189) (multiplicity 3)  3 Cr 2.73, 3 Pb 2.85
Pb (0.0000, 0.0000, 0.8071) (multiplicity 3)  6 Cr 2.85-2.89

Results
formation enthalpy at 0 K: 0.303 eV per atom



Density functional theory data (PBE) for a relaxed structure of KHo2Rh.

a = 4.0342 Å, b = 4.0342 Å, c = 32.6998 Å
α = 90.00°, β = 90.00°, γ = 120.00°
Closest atoms and distances in Å follow each position.
Space group R-3m (No. 166, hexagonal axes)
Asymmetric unit:
K (0.0000, 0.0000, 0.0000) (multiplicity 3)  2 Ho 4.02, 6 K 4.03
Ho (0.0000, 0.0000, 0.1230) (multiplicity 6)  3 Rh 2.73
Rh (0.0000, 0.0000, 0.5000) (multiplicity 3)  6 Ho 2.73

Results
formation enthalpy at 0 K: -0.287 eV per atom



Density functional theory data (PBE) for a relaxed structure of CeYIr.

a = 6.9882 Å, b = 7.1962 Å, c = 7.2226 Å
α = 90.00°, β = 113.18°, γ = 90.00°
Closest atoms and distances in Å follow each position.
Space group P2_1/c (No. 14)
Asymmetric unit:
Ce (0.2099, 0.1710, 0.0232) (multiplicity 4)  3 Ir 2.75-2.91
Y (0.3030, 0.6816, 0.9310) (multiplicity 4)  4 Ir 2.87-3.16
Ir (0.4364, 0.0534, 0.7810) (multiplicity 4)  3 Ce 2.75-2.91, 3 Y 2.87-2.95, 1 Ir 3.03

Results
formation enthalpy at 0 K: -0.465 eV per atom
distance to the lowest polymorph of the same formula: 0.114 eV/atom



Density functional theory data (PBE) for a relaxed structure of Sm2CdAu.

a = 3.7403 Å, b = 3.7403 Å, c = 7.4859 Å
α = 90.00°, β = 90.00°, γ = 90.00°
Closest atoms and distances in Å follow each position.
Space group P4/mmm (No. 123)
Asymmetric unit:
Sm (0.0000, 0.0000, 0.2364) (multiplicity 2)  4 Au 3.18, 4 Cd 3.30, 1 Sm 3.54
Cd (0.5000, 0.5000, 0.5000) (multiplicity 1)  8 Sm 3.30
Au (0.5000, 0.5000, 0.0000) (multiplicity 1)  8 Sm 3.18

Results
formation enthalpy at 0 K: -0.556 eV per atom
distance to the lowest polymorph of the same formula: 0.000 eV/atom



Density functional theory data (PBE) for a relaxed structure of Na4CaCl6.

a = 3.8960 Å, b = 13.3099 Å, c = 20.3416 Å
α = 90.00°, β = 90.00°, γ = 90.00°
Closest atoms and distances in Å follow each position.
Space group Cmcm (No. 63)
Asymmetric unit:
Na (0.0000, 0.0962, 0.1273) (multiplicity 8)  6 Cl 2.75-2.91
Na (0.0000, 0.3607, 0.0403) (multiplicity 8)  6 Cl 2.79-2.83
Ca (0.0000, 0.1515, 0.7500) (multiplicity 4)  6 Cl 2.76-2.88
Cl (0.0000, 0.0000, 0.0000) (multiplicity 4)  6 Na 2.81-2.89
Cl (0.0000, 0.2016, 0.2500) (multiplicity 4)  2 Ca 2.76, 2 Na 2.86
Cl (0.0000, 0.2724, 0.5860) (multiplicity 8)  5 Na 2.75-2.83
Cl (0.0000, 0.4457, 0.1676) (multiplicity 8)  3 Na 2.83-2.91, 2 Ca 2.88

Results
formation energy (no corrections): -1.945 eV/atom



Density functional theory data (PBE) for a relaxed structure of Te2PbSe.

a = 4.3387 Å, b = 4.3387 Å, c = 6.2545 Å
α = 90.00°, β = 90.00°, γ = 90.00°
Closest atoms and distances in Å follow each position.
Space group P4/mmm (No. 123)
Asymmetric unit:
Te (0.0000, 0.0000, 0.2457) (multiplicity 2)  2 Te 3.07-3.18, 4 Pb 3.43
Pb (0.5000, 0.5000, 0.0000) (multiplicity 1)  2 Se 3.13, 8 Te 3.43
Se (0.5000, 0.5000, 0.5000) (multiplicity 1)  2 Pb 3.13, 8 Te 3.46

Results
formation energy (no corrections): 0.162 eV/atom



Density functional theory data (PBE) for a relaxed structure of Nb2SiTe.

a = 4.0954 Å, b = 4.0954 Å, c = 19.0435 Å
α = 90.00°, β = 90.00°, γ = 90.00°
Closest atoms and distances in Å follow each position.
Space group I-42d (No. 122)
Asymmetric unit:
Nb (0.2366, 0.2500, 0.1250) (multiplicity 8)  2 Si 2.77, 2 Te 2.81, 4 Nb 2.82-2.97
Si (0.0000, 0.0000, 0.0000) (multiplicity 4)  4 Nb 2.77, 4 Te 2.90
Te (0.0000, 0.0000, 0.5000) (multiplicity 4)  4 Nb 2.81, 4 Si 2.90

Results
formation energy (no corrections): 0.286 eV/atom
distance to the lowest polymorph of the same formula: 0.378 eV/atom



Number 1: E -0.1576 Ha/atom, V 479.5 Å³/cell. Number 2: E -0.3470 Ha/atom, V 108.0 Å³/cell. Number 3: E -0.2535 Ha/atom, V 69.4 Å³/cell. Number 4: E -0.1350 Ha/atom, V 320.3 Å³/cell. Number 5: E -0.1876 Ha/atom, V 272.1 Å³/cell. Number 6: E -0.1638 Ha/atom, V 58.4 Å³/cell. Number 7: E -0.2174 Ha/atom, V 351.8 Å³/cell. Number 8: E -0.1723 Ha/atom, V 460.9 Å³/cell. Number 9: E -0.2775 Ha/atom, V 333.9 Å³/cell. Number 10: E -0.1457 Ha/atom, V 104.7 Å³/cell. Number 11: E -0.1328 Ha/atom, V 1054.8 Å³/cell. Number 12: E -0.1179 Ha/atom, V 117.7 Å³/cell. Number 13: E -0.2532 Ha/atom, V 319.4 Å³/cell.